# 1
Here is a geometry-optimized Mn2Be2Sn structure from Alexandria. Energies are from GGA-PBE.

Properties
ΔE to the lowest computed polymorph (meV per atom): 221
Crystal system: tetragonal
Energy of formation from the pure elements (meV per atom): 321
Space-group type: P4/mbm

Cell: 6.481 6.481 2.956 Å, 90.00 90.00 90.00°
Element x y z (fractional)
Mn  0.121  0.379  0.000
Mn  0.379  0.879  0.000
Mn  0.621  0.121  0.000
Mn  0.879  0.621  0.000
Be  0.164  0.664  0.500
Be  0.336  0.164  0.500
Be  0.664  0.836  0.500
Be  0.836  0.336  0.500
Sn  0.000  0.000  0.000
Sn  0.500  0.500  0.000

---

# 2
Here is a geometry-optimized MnBe2Sn structure from Alexandria. Energies are from GGA-PBE.

Properties
Crystal system: tetragonal
Energy of formation from the pure elements (meV per atom): 665
Space-group type: I-42d

Cell: 5.402 5.402 5.402 Å, 103.10 103.10 123.15°
Element x y z (fractional)
Mn  0.000  0.000  0.000
Mn  0.750  0.250  0.500
Be  0.101  0.625  0.976
Be  0.375  0.351  0.476
Be  0.649  0.125  0.024
Be  0.875  0.899  0.524
Sn  0.250  0.750  0.500
Sn  0.500  0.500  0.000

---

# 3
Here is a geometry-optimized Mn2Be2Sn structure from Alexandria. Energies are from GGA-PBE.

Properties
ΔE to the lowest computed polymorph (meV per atom): 0
Crystal system: tetragonal
Energy of formation from the pure elements (meV per atom): 100
Space-group type: P4/mbm

Cell: 6.199 6.199 2.997 Å, 90.00 90.00 90.00°
Element x y z (fractional)
Mn  0.166  0.334  0.000
Mn  0.334  0.834  0.000
Mn  0.666  0.166  0.000
Mn  0.834  0.666  0.000
Be  0.117  0.617  0.500
Be  0.383  0.117  0.500
Be  0.617  0.883  0.500
Be  0.883  0.383  0.500
Sn  0.000  0.000  0.500
Sn  0.500  0.500  0.500

---

# 4
Here is a geometry-optimized Mn2BeSn2 structure from Alexandria. Energies are from GGA-PBE.

Properties
Crystal system: tetragonal
Energy of formation from the pure elements (meV per atom): 240
Space-group type: P4/mbm

Cell: 6.236 6.236 4.057 Å, 90.00 90.00 90.00°
Element x y z (fractional)
Mn  0.147  0.353  0.000
Mn  0.353  0.853  0.000
Mn  0.647  0.147  0.000
Mn  0.853  0.647  0.000
Be  0.000  0.000  0.000
Be  0.500  0.500  0.000
Sn  0.167  0.667  0.500
Sn  0.333  0.167  0.500
Sn  0.667  0.833  0.500
Sn  0.833  0.333  0.500

---

# 5
Here is a geometry-optimized MnBeSn3 structure from Alexandria. Energies are from GGA-PBE.

Properties
ΔE to the lowest computed polymorph (meV per atom): 430
Crystal system: cubic
Energy of formation from the pure elements (meV per atom): 1060
Space-group type: Pm-3m

Cell: 4.739 4.739 4.739 Å, 90.00 90.00 90.00°
Element x y z (fractional)
Mn  0.000  0.000  0.000
Be  0.500  0.500  0.500
Sn  0.000  0.500  0.500
Sn  0.500  0.000  0.500
Sn  0.500  0.500  0.000

---

# 6
Here is a geometry-optimized Mn2BeSn structure from Alexandria. Energies are from GGA-PBE.

Properties
ΔE to the lowest computed polymorph (meV per atom): 248
Crystal system: tetragonal
Energy of formation from the pure elements (meV per atom): 505
Space-group type: I-42d

Cell: 8.868 8.868 8.868 Å, 156.16 156.16 33.97°
Element x y z (fractional)
Mn  0.026  0.125  0.401
Mn  0.375  0.974  0.099
Mn  0.724  0.625  0.599
Mn  0.875  0.276  0.901
Be  0.000  0.000  0.000
Be  0.750  0.250  0.500
Sn  0.250  0.750  0.500
Sn  0.500  0.500  0.000

---

# 7
Here is a geometry-optimized MnBeSn3 structure from Alexandria. Energies are from GGA-PBE.

Properties
ΔE to the lowest computed polymorph (meV per atom): 0
Crystal system: cubic
Energy of formation from the pure elements (meV per atom): 630
Space-group type: Pm-3m

Cell: 4.937 4.937 4.937 Å, 90.00 90.00 90.00°
Element x y z (fractional)
Mn  0.000  0.000  0.000
Be  0.500  0.500  0.500
Sn  0.000  0.000  0.500
Sn  0.000  0.500  0.000
Sn  0.500  0.000  0.000

---

# 8
Here is a geometry-optimized SrMnBeSn2 structure from Alexandria. Energies are from GGA-PBE.

Properties
Crystal system: tetragonal
Energy of formation from the pure elements (meV per atom): 593
Space-group type: P4/mmm

Cell: 4.900 4.900 5.389 Å, 90.00 90.00 90.00°
Element x y z (fractional)
Sr  0.000  0.000  0.000
Mn  0.000  0.000  0.500
Be  0.500  0.500  0.000
Sn  0.000  0.500  0.500
Sn  0.500  0.000  0.500

---

# 9
Here is a geometry-optimized Sr2MnBe structure from Alexandria. Energies are from GGA-PBE.

Properties
Crystal system: tetragonal
Energy of formation from the pure elements (meV per atom): 732
Space-group type: I-4m2

Cell: 5.246 5.246 5.246 Å, 119.80 119.80 90.35°
Element x y z (fractional)
Sr  0.000  0.000  0.000
Sr  0.750  0.250  0.500
Mn  0.500  0.500  0.000
Be  0.250  0.750  0.500

---

# 10
Here is a geometry-optimized SrMn2Be structure from Alexandria. Energies are from GGA-PBE.

Properties
Crystal system: monoclinic
Energy of formation from the pure elements (meV per atom): 644
Space-group type: P2/m

Cell: 2.989 3.783 6.761 Å, 90.00 101.53 90.00°
Element x y z (fractional)
Sr  0.000  0.000  0.000
Mn  0.370  0.500  0.659
Mn  0.630  0.500  0.341
Be  0.000  0.000  0.500

---

# 11
Here is a geometry-optimized Sr3MnBe structure from Alexandria. Energies are from GGA-PBE.

Properties
ΔE to the lowest computed polymorph (meV per atom): 0
Crystal system: cubic
Energy of formation from the pure elements (meV per atom): 1075
Space-group type: Pm-3m

Cell: 5.574 5.574 5.574 Å, 90.00 90.00 90.00°
Element x y z (fractional)
Sr  0.000  0.000  0.500
Sr  0.000  0.500  0.000
Sr  0.500  0.000  0.000
Mn  0.000  0.000  0.000
Be  0.500  0.500  0.500

---

# 12
Here is a geometry-optimized SrMn2Be structure from Alexandria. Energies are from GGA-PBE.

Properties
Crystal system: tetragonal
Energy of formation from the pure elements (meV per atom): 614
Space-group type: P4/mmm

Cell: 3.106 3.106 6.625 Å, 90.00 90.00 90.00°
Element x y z (fractional)
Sr  0.000  0.000  0.000
Mn  0.500  0.500  0.354
Mn  0.500  0.500  0.646
Be  0.000  0.000  0.500

---

# 13
Here is a geometry-optimized SrMn2Be structure from Alexandria. Energies are from GGA-PBE.

Properties
Crystal system: trigonal
Energy of formation from the pure elements (meV per atom): 217
Space-group type: R3m

Cell: 5.984 5.984 5.984 Å, 39.73 39.73 39.73°
Element x y z (fractional)
Sr  0.000  0.000  0.000
Mn  0.185  0.185  0.185
Mn  0.504  0.504  0.504
Be  0.817  0.817  0.817

---

Calculated ρ (g cm⁻³), listed in the same order as above: 6.60; 5.49; 7.11; 7.50; 6.56; 6.93; 5.80; 4.99; 3.88; 4.58; 3.13; 5.37; 4.35
Calculated calculated total energy (Ry/atom), listed in the same order as above: -0.41436; -0.33012; -0.43060; -0.42442; -0.28817; -0.44184; -0.31978; -0.28838; -0.24495; -0.38899; -0.18473; -0.39123; -0.42036